Entry from Alexandria via LeMat-Bulk: crystalline UTaCr4 at its relaxed geometry (PBE).

The value obtained for the formation energy is 0.247 eV/atom. The calculation puts the calculated total energy at -10.026 eV/atom.

Cell: 5.000 5.000 5.000 Å, 60.00 60.00 60.00°
Site moments in Bohr magnetons follow the coordinates.
Fractional coordinates of all 6 atoms:
Cr 0.625 0.625 0.124  0.24
Cr 0.625 0.124 0.625  0.24
Cr 0.625 0.625 0.625  0.24
Cr 0.124 0.625 0.625  0.24
U 0.250 0.250 0.250  1.17
Ta 0.000 0.000 0.000  0.05